Record 1
First-principles (GGA-PBEsol) data for KYRu3 after structural relaxation, as listed in Alexandria via LeMat-Bulk.

a = 4.9327 Å, b = 4.9327 Å, c = 4.9327 Å
α = 90.00°, β = 90.00°, γ = 90.00°
Space group Pm-3m (No. 221)
Inequivalent atoms, fractional coordinates:
K 0.0000 0.0000 0.0000
Y 0.5000 0.5000 0.5000
Ru 0.0000 0.5000 0.5000

Output
As for the formation energy: 9.9 eV per formula unit.


Record 2
First-principles (GGA-PBEsol) data for SnB2Br after structural relaxation, as listed in Alexandria via LeMat-Bulk.

a = 6.3186 Å, b = 6.3186 Å, c = 6.3186 Å
α = 90.00°, β = 90.00°, γ = 90.00°
Space group Fm-3m (No. 225)
Inequivalent atoms, fractional coordinates:
Sn 0.0000 0.0000 0.0000
B 0.2500 0.2500 0.2500
Br 0.0000 0.0000 0.5000

Output
For the formation energy (no corrections), the calculation gives 1.733 eV/atom.


Record 3
First-principles (GGA-PBEsol) data for YZn2Pb2 after structural relaxation, as listed in Alexandria via LeMat-Bulk.

a = 4.0303 Å, b = 4.0303 Å, c = 14.4102 Å
α = 90.00°, β = 90.00°, γ = 90.00°
Space group I4/mmm (No. 139)
Inequivalent atoms, fractional coordinates:
Y 0.0000 0.0000 0.0000
Zn 0.0000 0.5000 0.2500
Pb 0.0000 0.0000 0.3878

Output
As for the formation energy: -0.2 eV per formula unit.


Record 4
First-principles (GGA-PBEsol) data for SrCoN3 after structural relaxation, as listed in Alexandria via LeMat-Bulk.

a = 4.3957 Å, b = 4.3957 Å, c = 4.3957 Å
α = 90.00°, β = 90.00°, γ = 90.00°
Space group Pm-3m (No. 221)
Inequivalent atoms, fractional coordinates:
Sr 0.0000 0.0000 0.0000
Co 0.5000 0.5000 0.5000
N 0.0000 0.0000 0.5000

Output
For the formation energy (no corrections), the calculation gives 2.804 eV/atom.